[1]
# CaAcLaPm (GGA-PBE, optimized geometry)
# ΔE_f: 0.032 eV per atom
# Theoretical density: 5796 kg/m³
# Calculated total energy: -3.92 eV/atom
# Energy relative to the lowest polymorph listed for this composition: 0.000 eV/atom
data_CaAcLaPm
_chemical_formula_sum 'Ca3 Ac3 La3 Pm3'
_cell_length_a 3.8162
_cell_length_b 3.8162
_cell_length_c 37.5478
_cell_angle_alpha 90.00
_cell_angle_beta 90.00
_cell_angle_gamma 120.00
_space_group_name_H-M_alt 'R 3 m'
_space_group_IT_number 160
_space_group_name_Hall 'R 3 -2"'
loop_
_atom_site_label
_atom_site_type_symbol
_atom_site_fract_x
_atom_site_fract_y
_atom_site_fract_z
Ca1 Ca 0.0000 0.0000 0.0000
Ac1 Ac 0.0000 0.0000 0.7548
La1 La 0.0000 0.0000 0.2479
Pm1 Pm 0.0000 0.0000 0.5032



[2]
# Ca2Ac5LaPr (GGA-PBE, optimized geometry)
# ΔE_f: 0.286 eV per atom
# Theoretical density: 6452 kg/m³
# Calculated total energy: -3.52 eV/atom
data_Ca2Ac5LaPr
_chemical_formula_sum 'Ca8 Ac20 La4 Pr4'
_cell_length_a 9.317
_cell_length_b 9.317
_cell_length_c 17.727
_cell_angle_alpha 90.00
_cell_angle_beta 90.00
_cell_angle_gamma 90.00
_space_group_name_H-M_alt 'I 4/m c m'
_space_group_IT_number 140
_space_group_name_Hall '-I 4 2c'
loop_
_atom_site_label
_atom_site_type_symbol
_atom_site_fract_x
_atom_site_fract_y
_atom_site_fract_z
Ca1 Ca 0.117 0.383 0.000
Ac1 Ac 0.000 0.000 0.000
Ac2 Ac 0.209 0.291 0.354
La1 La 0.000 0.500 0.250
Pr1 Pr 0.000 0.000 0.250



[3]
# CaAcLa5Pr2 (GGA-PBE, optimized geometry)
# ΔE_f: 0.217 eV per atom
# Theoretical density: 5870 kg/m³
# Calculated total energy: -4.26 eV/atom
data_CaAcLa5Pr2
_chemical_formula_sum 'Ca4 Ac4 La20 Pr8'
_cell_length_a 9.459
_cell_length_b 9.459
_cell_length_c 15.726
_cell_angle_alpha 90.00
_cell_angle_beta 90.00
_cell_angle_gamma 90.00
_space_group_name_H-M_alt 'I 4/m c m'
_space_group_IT_number 140
_space_group_name_Hall '-I 4 2c'
loop_
_atom_site_label
_atom_site_type_symbol
_atom_site_fract_x
_atom_site_fract_y
_atom_site_fract_z
Ca1 Ca 0.000 0.500 0.250
Ac1 Ac 0.000 0.000 0.250
La1 La 0.000 0.000 0.000
La2 La 0.204 0.296 0.124
Pr1 Pr 0.115 0.385 0.500



[4]
# CaAc2La5Pr (GGA-PBE, optimized geometry)
# ΔE_f: 0.063 eV per atom
# Theoretical density: 6284 kg/m³
# Calculated total energy: -4.34 eV/atom
data_CaAc2La5Pr
_chemical_formula_sum 'Ca4 Ac8 La20 Pr4'
_cell_length_a 6.101
_cell_length_b 18.080
_cell_length_c 12.739
_cell_angle_alpha 90.00
_cell_angle_beta 90.00
_cell_angle_gamma 90.00
_space_group_name_H-M_alt 'C m c 21'
_space_group_IT_number 36
_space_group_name_Hall 'C 2c -2'
loop_
_atom_site_label
_atom_site_type_symbol
_atom_site_fract_x
_atom_site_fract_y
_atom_site_fract_z
Ca1 Ca 0.000 0.110 0.000
Ac1 Ac 0.000 0.388 0.002
Ac2 Ac 0.000 0.419 0.334
La1 La 0.000 0.061 0.647
La2 La 0.000 0.065 0.352
La3 La 0.000 0.231 0.209
La4 La 0.000 0.236 0.793
La5 La 0.000 0.418 0.661
Pr1 Pr 0.000 0.246 0.504